(1)
{"formula": "KSiPt", "functional": "SCAN", "state": "PBEsol geometry", "mass_density_g_cm3": 6.731, "dos_ef_per_ev_fu": 1.83, "crystal_system": "cubic", "formation_energy_uncorrected_ev_per_atom": 0.51, "m_tot_mub_per_cell": 0.00, "e_above_lowest_polymorph_mev_per_atom": 892.5, "cell": [[0.0000, 3.1864, 3.1864], [3.1864, 0.0000, 3.1864], [3.1864, 3.1864, 0.0000]], "species": ["K", "Si", "Pt"], "fractional_positions": [[0.0000, 0.0000, 0.0000], [0.2500, 0.2500, 0.2500], [0.5000, 0.5000, 0.5000]]}

---

(2)
{"formula": "BaTa2In", "functional": "SCAN", "state": "PBEsol geometry", "mass_density_g_cm3": 9.929, "dos_ef_per_ev_fu": 3.47, "crystal_system": "monoclinic", "e_form_ev_per_atom": 0.722, "m_tot_mub_per_cell": 0.00, "e_above_lowest_polymorph_mev_per_atom": 233.7, "cell": [[3.0306, 0.0000, 0.0000], [0.0000, 5.1641, 0.0000], [-0.6398, 0.0000, 6.5617]], "species": ["Ba", "Ta", "Ta", "In"], "fractional_positions": [[0.0000, 0.0000, 0.0000], [0.2850, 0.5000, 0.6642], [0.7150, 0.5000, 0.3358], [0.5000, 0.0000, 0.5000]]}

---

(3)
{"formula": "MnInSiTe2", "functional": "SCAN", "state": "PBEsol geometry", "mass_density_g_cm3": 5.326, "dos_ef_per_ev_fu": 2.16, "crystal_system": "tetragonal", "formation_energy_uncorrected_ev_per_atom": 0.50, "m_tot_mub_per_cell": 5.30, "cell": [[5.3509, 0.0000, 0.0000], [0.0000, 5.3509, 0.0000], [0.0000, 0.0000, 4.9331]], "species": ["Mn", "In", "Si", "Te", "Te"], "fractional_positions": [[0.0000, 0.0000, 0.0000], [0.5000, 0.5000, 0.0000], [0.5000, 0.5000, 0.5000], [0.0000, 0.5000, 0.5000], [0.5000, 0.0000, 0.5000]]}

---

(4)
{"formula": "CoTe2N", "functional": "SCAN", "state": "PBEsol geometry", "mass_density_g_cm3": 6.781, "dos_ef_per_ev_fu": 1.82, "crystal_system": "trigonal", "formation_energy_uncorrected_ev_per_atom": 0.60, "m_tot_mub_per_cell": 0.00, "cell": [[1.9258, 1.1118, 6.2553], [-1.9258, 1.1118, 6.2553], [0.0000, -2.2237, 6.2553]], "species": ["Co", "Te", "Te", "N"], "fractional_positions": [[0.0000, 0.0000, 0.0000], [0.3979, 0.3979, 0.3979], [0.6021, 0.6021, 0.6021], [0.5000, 0.5000, 0.5000]]}

---

(5)
{"formula": "Rb2HWF", "functional": "SCAN", "state": "PBEsol geometry", "mass_density_g_cm3": 4.374, "dos_ef_per_ev_fu": 1.49, "crystal_system": "tetragonal", "total_energy_ev_per_atom": -23.20, "m_tot_mub_per_cell": 4.02, "cell": [[6.3120, 0.0000, 0.0000], [0.0000, 6.3120, 0.0000], [0.0000, 0.0000, 3.5713]], "species": ["Rb", "Rb", "H", "W", "F"], "fractional_positions": [[0.0000, 0.5000, 0.0000], [0.5000, 0.0000, 0.0000], [0.0000, 0.0000, 0.5000], [0.0000, 0.0000, 0.0000], [0.5000, 0.5000, 0.5000]]}

---

(6)
{"formula": "LiTl2As", "functional": "SCAN", "state": "PBEsol geometry", "mass_density_g_cm3": 8.842, "dos_ef_per_ev_fu": 1.57, "crystal_system": "orthorhombic", "e_form_ev_per_atom": -0.083, "m_tot_mub_per_cell": 0.00, "e_above_lowest_polymorph_mev_per_atom": 169.4, "cell": [[-2.0739, 2.4605, 4.5141], [2.0739, -2.4605, 4.5141], [2.0739, 2.4605, -4.5141]], "species": ["Li", "Tl", "Tl", "As"], "fractional_positions": [[0.0000, 0.0000, 0.0000], [0.2704, 0.7704, 0.5000], [0.5456, 0.5456, 0.0000], [0.8044, 0.3044, 0.5000]]}

---

(7)
{"formula": "Mo3C4", "functional": "SCAN", "state": "PBEsol geometry", "mass_density_g_cm3": 7.288, "dos_ef_per_ev_fu": 4.12, "crystal_system": "cubic", "e_form_ev_per_atom": 0.613, "m_tot_mub_per_cell": 0.00, "cell": [[4.2456, 0.0000, 0.0000], [0.0000, 4.2456, 0.0000], [0.0000, 0.0000, 4.2456]], "species": ["Mo", "Mo", "Mo", "C", "C", "C", "C"], "fractional_positions": [[0.0000, 0.0000, 0.5000], [0.0000, 0.5000, 0.0000], [0.5000, 0.0000, 0.0000], [0.0000, 0.0000, 0.0000], [0.0000, 0.5000, 0.5000], [0.5000, 0.0000, 0.5000], [0.5000, 0.5000, 0.0000]]}

---

(8)
{"formula": "Mg2TlTe", "functional": "SCAN", "state": "PBEsol geometry", "mass_density_g_cm3": 6.237, "dos_ef_per_ev_fu": 1.08, "crystal_system": "tetragonal", "formation_energy_uncorrected_ev_per_atom": -0.27, "m_tot_mub_per_cell": 0.00, "e_above_lowest_polymorph_mev_per_atom": 1.8, "cell": [[-2.1014, 2.1014, 5.7371], [2.1014, -2.1014, 5.7371], [2.1014, 2.1014, -5.7371]], "species": ["Mg", "Mg", "Tl", "Te"], "fractional_positions": [[0.0000, 0.0000, 0.0000], [0.7500, 0.2500, 0.5000], [0.2500, 0.7500, 0.5000], [0.5000, 0.5000, 0.0000]]}